DFT (PBE with a Hubbard U) results for a relaxed LiMn3CrO8 crystal.

Cell lengths 5.8675, 5.8675, 6.1111 Å; angles 61.22, 61.22, 59.86 degrees
Closest atoms and distances in Å follow each position.
Fractional coordinates of all 13 atoms:
O1 0.2348 0.2348 0.8102  2 Mn 1.93, 1 Cr 1.99
O2 0.7672 0.2757 0.1954  2 Mn 1.94-1.96, 1 Cr 1.99
O3 0.7243 0.2328 0.8046  2 Mn 1.94-1.96, 1 Cr 1.99
Mn1 0.0000 0.5000 0.0000  6 O 1.93-1.96
O4 0.7652 0.7652 0.1898  2 Mn 1.93, 1 Cr 1.99
Mn2 0.5000 0.5000 0.0000  6 O 1.96-1.99
Li1 0.0000 0.0000 0.5000  6 O 2.26-2.30
Cr1 0.0000 0.0000 0.0000  6 O 1.99
O5 0.2646 0.2646 0.1989  3 Mn 1.96-1.99
Mn3 0.5000 0.0000 0.0000  6 O 1.93-1.96
O6 0.7354 0.7354 0.8011  3 Mn 1.96-1.99
O7 0.2757 0.7672 0.1954  2 Mn 1.94-1.96, 1 Cr 1.99
O8 0.2328 0.7243 0.8046  2 Mn 1.94-1.96, 1 Cr 1.99

Summary:
energy relative to the lowest polymorph listed for this composition	45.4	meV per atom